No. 1
# BaScTl

A geometry-optimized BaScTl structure (PBEsol, Alexandria via LeMat-Bulk).

Structure (POSCAR):
```
BaScTl
1.0
5.042 0.000 0.000
0.000 5.042 0.000
0.000 0.000 7.802
Ba Sc Tl
2 2 2
Direct
0.250 0.250 0.142 Ba
0.750 0.750 0.858 Ba
0.250 0.750 0.500 Sc
0.750 0.250 0.500 Sc
0.250 0.250 0.695 Tl
0.750 0.750 0.305 Tl
```

Calculated values
E_form = -0.32 eV per atom
D(E_F) = 1.7 states/eV/cell
SG = P4/nmm, No. 129
V = 33.1 A^3/atom
Offset from the most stable computed form = 0 meV per atom



No. 2
# Tb3Eu

A geometry-optimized Tb3Eu structure (PBEsol, Alexandria via LeMat-Bulk).

Structure (POSCAR):
```
Tb3Eu
1.0
4.988 0.000 0.000
0.000 4.988 0.000
0.000 0.000 4.988
Tb Eu
3 1
Direct
0.000 0.000 0.500 Tb
0.000 0.500 0.000 Tb
0.500 0.000 0.000 Tb
0.500 0.500 0.500 Eu
```

Calculated values
E_form = 0.07 eV per atom
D(E_F) = 6.1 states/eV/cell
SG = Pm-3m, No. 221
V = 31.0 A^3/atom
Offset from the most stable computed form = 3 meV per atom



No. 3
# TaZnIn2

A geometry-optimized TaZnIn2 structure (PBEsol, Alexandria via LeMat-Bulk).

Structure (POSCAR):
```
TaZnIn2
1.0
2.936 0.000 0.000
0.000 5.084 0.000
0.000 0.000 5.188
Ta Zn In
1 1 2
Direct
0.000 0.000 0.000 Ta
0.500 0.000 0.500 Zn
0.000 0.500 0.500 In
0.500 0.500 0.000 In
```

Calculated values
E_form = 0.32 eV per atom
D(E_F) = 2.4 states/eV/cell
SG = Pmmm, No. 47
V = 19.4 A^3/atom



No. 4
# ZnAgW

A geometry-optimized ZnAgW structure (PBEsol, Alexandria via LeMat-Bulk).

Structure (POSCAR):
```
ZnAgW
1.0
2.763 0.000 0.000
-1.382 2.393 0.000
0.000 0.000 6.918
Zn Ag W
1 1 1
Direct
0.000 0.000 0.000 Zn
0.667 0.333 0.677 Ag
0.333 0.667 0.327 W
```

Calculated values
E_form = 0.32 eV per atom
D(E_F) = 1.9 states/eV/cell
SG = P3m1, No. 156
V = 15.2 A^3/atom



No. 5
# In2PW

A geometry-optimized In2PW structure (PBEsol, Alexandria via LeMat-Bulk).

Structure (POSCAR):
```
In2PW
1.0
3.401 0.000 0.000
0.000 4.496 0.000
0.000 0.000 4.662
In P W
2 1 1
Direct
0.000 0.000 0.000 In
0.500 0.500 0.000 In
0.000 0.500 0.500 P
0.500 0.000 0.500 W
```

Calculated values
E_form = 0.71 eV per atom
D(E_F) = 2.8 states/eV/cell
SG = Pmmm, No. 47
V = 17.8 A^3/atom



No. 6
# Y2BiIr2

A geometry-optimized Y2BiIr2 structure (PBEsol, Alexandria via LeMat-Bulk).

Structure (POSCAR):
```
Y2BiIr2
1.0
-2.698 2.698 4.029
2.698 -2.698 4.029
2.698 2.698 -4.029
Y Bi Ir
2 1 2
Direct
0.250 0.750 0.500 Y
0.750 0.250 0.500 Y
0.000 0.000 0.000 Bi
0.348 0.348 0.000 Ir
0.652 0.652 0.000 Ir
```

Calculated values
E_form = -0.40 eV per atom
D(E_F) = 4.0 states/eV/cell
SG = I4/mmm, No. 139
V = 23.5 A^3/atom



No. 7
# TaMoIr2I

A geometry-optimized TaMoIr2I structure (PBEsol, Alexandria via LeMat-Bulk).

Structure (POSCAR):
```
TaMoIr2I
1.0
4.725 0.000 0.000
0.000 4.725 0.000
0.000 0.000 4.726
Ta Mo Ir I
1 1 2 1
Direct
0.000 0.000 0.000 Ta
0.500 0.500 0.000 Mo
0.000 0.500 0.500 Ir
0.500 0.000 0.500 Ir
0.500 0.500 0.500 I
```

Calculated values
D(E_F) = 5.3 states/eV/cell
SG = P4/mmm, No. 123
V = 21.1 A^3/atom
Energy relative to the elements, uncorrected = 2.25 eV per atom



No. 8
# TiAuF2

A geometry-optimized TiAuF2 structure (PBEsol, Alexandria via LeMat-Bulk).

Structure (POSCAR):
```
TiAuF2
1.0
-2.996 2.996 4.464
2.996 -2.996 4.464
2.996 2.996 -4.464
Ti Au F
2 2 4
Direct
0.375 0.625 0.750 Ti
0.625 0.375 0.250 Ti
0.125 0.875 0.250 Au
0.875 0.125 0.750 Au
0.000 0.500 0.500 F
0.500 0.000 0.000 F
0.500 0.500 0.000 F
0.500 0.500 0.500 F
```

Calculated values
D(E_F) = 3.1 states/eV/cell
SG = I4_1/amd, No. 141
V = 20.0 A^3/atom
Energy relative to the elements, uncorrected = -1.47 eV per atom